(1)
Here is an optimized crystal structure of YBeAl2 from the Alexandria database. Energies are from PBE-GGA.

Formation energy (meV/atom): -176
Space-group type: Pmm2, No. 25
Density of states at the Fermi level (states/eV per cell): 1.43

```
YBeAl2
1.0
4.133 0.000 0.000
0.000 4.232 0.000
0.000 0.000 4.113
Y Be Al
1 1 2
Cartesian
0.000 0.000 0.000 Y
2.067 0.000 2.062 Be
0.000 2.116 2.055 Al
2.067 2.116 4.109 Al
```

***

(2)
Here is an optimized crystal structure of BaF2 from the Alexandria database. Energies are from PBE-GGA.

Uncorrected formation energy (eV/atom): -3.745
Space-group type: P6_3/mmc, No. 194
Offset from the most stable computed form (meV/atom): 134.4
Density of states at the Fermi level (states/eV per cell): 0.00

```
BaF2
1.0
4.453 0.000 0.000
-2.226 3.856 0.000
0.000 0.000 6.216
Ba F
2 4
Cartesian
0.000 2.571 1.554 Ba
2.226 1.285 4.662 Ba
0.000 0.000 0.000 F
0.000 0.000 3.108 F
0.000 2.571 4.662 F
2.226 1.285 1.554 F
```